1.
The following is a GGA-PBE calculation of Be2MoPdS after structural relaxation, from the Alexandria database.

```
Be2MoPdS
1.0
4.024 0.000 0.000
0.000 4.597 0.000
0.000 0.000 4.024
Be Mo S Pd
2 1 1 1
Direct
0.000 0.000 0.500
0.500 0.000 0.000
0.500 0.500 0.500
0.000 0.000 0.000
0.000 0.500 0.000
```

Computed properties:
**ΔE_f (raw)**: 0.817 eV/atom

2.
The following is a GGA-PBE calculation of BeVMo2Pd after structural relaxation, from the Alexandria database.

```
BeVMo2Pd
1.0
4.440 0.000 0.000
0.000 4.657 0.000
0.000 0.000 4.440
Be Mo Pd V
1 2 1 1
Direct
0.500 0.500 0.500
0.000 0.000 0.500
0.500 0.000 0.000
0.000 0.500 0.000
0.000 0.000 0.000
```

Computed properties:
**DFT formation energy**: 1.394 eV per atom

3.
The following is a GGA-PBE calculation of Be2VMoPd after structural relaxation, from the Alexandria database.

```
Be2VMoPd
1.0
4.022 0.000 0.000
0.000 4.903 0.000
0.000 0.000 4.022
Be Mo Pd V
2 1 1 1
Direct
0.000 0.000 0.500
0.500 0.000 0.000
0.000 0.500 0.000
0.000 0.000 0.000
0.500 0.500 0.500
```

Computed properties:
**DFT formation energy**: 1.008 eV per atom

4.
The following is a GGA-PBE calculation of ZrBeMoPd2 after structural relaxation, from the Alexandria database.

```
ZrBeMoPd2
1.0
4.753 0.000 0.000
0.000 4.291 0.000
0.000 0.000 4.753
Be Mo Zr Pd
1 1 1 2
Direct
0.000 0.500 0.000
0.000 0.000 0.000
0.500 0.500 0.500
0.000 0.000 0.500
0.500 0.000 0.000
```

Computed properties:
**DFT formation energy**: 0.812 eV per atom

5.
The following is a GGA-PBE calculation of BeMo2Pt after structural relaxation, from the Alexandria database.

```
BeMo2Pt
1.0
-4.747 0.056 -0.289
-1.925 -1.448 4.101
3.312 3.260 -1.012
Be Mo Pt
1 2 1
Direct
0.750 0.250 0.500
0.000 0.000 0.000
0.250 0.750 0.500
0.500 0.500 0.000
```

Computed properties:
**DFT formation energy**: -0.010 eV per atom

6.
The following is a GGA-PBE calculation of BeMo2Pt after structural relaxation, from the Alexandria database.

```
BeMo2Pt
1.0
-1.849 -1.961 -3.066
0.904 -2.360 0.964
-3.482 -2.475 3.684
Be Mo Pt
1 2 1
Direct
0.500 0.750 0.750
0.000 0.980 0.980
0.000 0.520 0.520
0.500 0.250 0.250
```

Computed properties:
**DFT formation energy**: -0.142 eV per atom

7.
The following is a GGA-PBE calculation of Be2MoPt after structural relaxation, from the Alexandria database.

```
Be2MoPt
1.0
3.669 0.000 0.000
0.000 2.699 -0.034
0.000 0.091 5.050
Be Mo Pt
2 1 1
Direct
0.000 0.758 0.027
0.000 0.742 0.473
0.500 0.250 0.250
0.500 0.750 0.750
```

Computed properties:
**Energy above the lowest structure with this stoichiometry**: 136 meV per atom
**DFT formation energy**: -0.211 eV per atom

8.
The following is a GGA-PBE calculation of BeMo2Pt after structural relaxation, from the Alexandria database.

```
BeMo2Pt
1.0
8.954 -0.004 -0.002
8.532 2.716 -0.002
8.532 1.323 2.372
Be Mo Pt
1 2 1
Direct
0.750 0.750 0.750
0.005 0.005 0.005
0.495 0.495 0.495
0.250 0.250 0.250
```

Computed properties:
**DFT formation energy**: 0.137 eV per atom

Looking at electronic total energy for the records above, in order, we have -4.70 -6.55 -5.51 -5.89 -7.87 -8.00 -6.29 -7.72 eV per atom.